[1]
# PBE NaDyMgF6, optimized geometry
data_NaDyMgF6
_cell_length_a 5.6465
_cell_length_b 5.6465
_cell_length_c 9.4918
_cell_angle_alpha 90.00
_cell_angle_beta 90.00
_cell_angle_gamma 120.00
_symmetry_space_group_name_H-M 'P -3 1 c'
_symmetry_Int_Tables_number 163
_symmetry_space_group_name_Hall '-P 3 2c'
loop_
_atom_site_label
_atom_site_fract_x
_atom_site_fract_y
_atom_site_fract_z
Na1 0.0000 0.0000 0.0000
Dy1 0.3333 0.6667 0.2500
Mg1 0.3333 0.6667 0.7500
F1 0.0236 0.3702 0.6369
# formation energy (no corrections): -3590 meV/atom

[2]
# PBE Na2DyMg3F12, optimized geometry
data_Na2DyMg3F12
_cell_length_a 7.3436
_cell_length_b 7.3436
_cell_length_c 15.5829
_cell_angle_alpha 90.00
_cell_angle_beta 90.00
_cell_angle_gamma 120.00
_symmetry_space_group_name_H-M 'R -3 m'
_symmetry_Int_Tables_number 166
_symmetry_space_group_name_Hall '-R 3 2"'
loop_
_atom_site_label
_atom_site_fract_x
_atom_site_fract_y
_atom_site_fract_z
Na1 0.0000 0.0000 0.1262
Dy1 0.0000 0.0000 0.5000
Mg1 0.0000 0.5000 0.0000
F1 0.0331 0.5165 0.8705
F2 0.0895 0.5447 0.3031
# formation energy (no corrections): -3203 meV/atom

[3]
# PBE Rb2DyMgF6, optimized geometry
data_Rb2DyMgF6
_cell_length_a 5.934
_cell_length_b 6.526
_cell_length_c 8.686
_cell_angle_alpha 90.00
_cell_angle_beta 90.00
_cell_angle_gamma 90.00
_symmetry_space_group_name_H-M 'I m m m'
_symmetry_Int_Tables_number 71
_symmetry_space_group_name_Hall '-I 2 2'
loop_
_atom_site_label
_atom_site_fract_x
_atom_site_fract_y
_atom_site_fract_z
Rb1 0.000 0.000 0.244
Dy1 0.000 0.500 0.000
Mg1 0.000 0.500 0.500
F1 0.000 0.500 0.258
F2 0.244 0.216 0.000
# formation energy (no corrections): -3135 meV/atom